(1)
SrInPt after structural relaxation. Source: the Alexandria database, functional GGA-PBE.

CIF file:
```
data_SrInPt
_cell_length_a 7.628
_cell_length_b 4.616
_cell_length_c 8.534
_cell_angle_alpha 90.00
_cell_angle_beta 90.00
_cell_angle_gamma 90.00
_space_group_name_H-M_alt 'P n m a'
_space_group_IT_number 62
loop_
_space_group_symop_operation_xyz
'x,y,z'
'-x,-y,-z'
'-x+1/2,-y,z+1/2'
'x+1/2,y,-z+1/2'
'x+1/2,-y+1/2,-z+1/2'
'-x+1/2,y+1/2,z+1/2'
'-x,y+1/2,-z'
'x,-y+1/2,z'
loop_
_atom_site_label
_atom_site_type_symbol
_atom_site_fract_x
_atom_site_fract_y
_atom_site_fract_z
_atom_site_occupancy
Sr1 Sr 0.029 0.250 0.179 1
In1 In 0.148 0.250 0.566 1
Pt1 Pt 0.221 0.750 0.380 1
```

Summary:
energy of formation from the pure elements	-787	meV/atom
N(E_F)	1.71	states/eV/f.u.

(2)
Pm16Ho7Er6 after structural relaxation. Source: the Alexandria database, functional GGA-PBE.

CIF file:
```
data_Pm16Ho7Er6
_cell_length_a 15.887
_cell_length_b 15.887
_cell_length_c 15.887
_cell_angle_alpha 90.00
_cell_angle_beta 90.00
_cell_angle_gamma 90.00
_space_group_name_H-M_alt 'F m -3 m'
_space_group_IT_number 225
_space_group_name_Hall '-F 4 2 3'
loop_
_atom_site_label
_atom_site_type_symbol
_atom_site_fract_x
_atom_site_fract_y
_atom_site_fract_z
_atom_site_occupancy
Pm1 Pm 0.125 0.125 0.125 1
Pm2 Pm 0.149 0.149 0.351 1
Ho1 Ho 0.000 0.000 0.000 1
Ho2 Ho 0.000 0.250 0.250 1
Er1 Er 0.000 0.000 0.266 1
```

Summary:
energy of formation from the pure elements	214	meV/atom
N(E_F)	40.60	states/eV/f.u.

(3)
MgZrSi2 after structural relaxation. Source: the Alexandria database, functional GGA-PBE.

CIF file:
```
data_MgZrSi2
_cell_length_a 7.222
_cell_length_b 7.222
_cell_length_c 5.842
_cell_angle_alpha 90.00
_cell_angle_beta 90.00
_cell_angle_gamma 90.00
_space_group_name_H-M_alt 'I -4 2 d'
_space_group_IT_number 122
_space_group_name_Hall 'I -4 2bw'
loop_
_atom_site_label
_atom_site_type_symbol
_atom_site_fract_x
_atom_site_fract_y
_atom_site_fract_z
_atom_site_occupancy
Mg1 Mg 0.000 0.000 0.000 1
Zr1 Zr 0.000 0.000 0.500 1
Si1 Si 0.239 0.250 0.125 1
```

Summary:
N(E_F)	0.55	states/eV/f.u.
E_form (uncorrected)	56	meV/atom

(4)
ZrPb2Br after structural relaxation. Source: the Alexandria database, functional GGA-PBE.

CIF file:
```
data_ZrPb2Br
_cell_length_a 3.420
_cell_length_b 4.437
_cell_length_c 16.893
_cell_angle_alpha 90.00
_cell_angle_beta 90.00
_cell_angle_gamma 90.00
_space_group_name_H-M_alt 'I m m 2'
_space_group_IT_number 44
loop_
_space_group_symop_operation_xyz
'x,y,z'
'-x,-y,z'
'-x,y,z'
'x,-y,z'
'x+1/2,y+1/2,z+1/2'
'-x+1/2,-y+1/2,z+1/2'
'-x+1/2,y+1/2,z+1/2'
'x+1/2,-y+1/2,z+1/2'
loop_
_atom_site_label
_atom_site_type_symbol
_atom_site_fract_x
_atom_site_fract_y
_atom_site_fract_z
_atom_site_occupancy
Zr1 Zr 0.000 0.000 0.000 1
Pb1 Pb 0.000 0.000 0.572 1
Pb2 Pb 0.000 0.500 0.700 1
Br1 Br 0.000 0.500 0.375 1
```

Summary:
E above lowest polymorph	0.0	kJ per mole of atoms
N(E_F)	1.65	states/eV/f.u.
E_form (uncorrected)	-342	meV/atom

(5)
Li2AlF after structural relaxation. Source: the Alexandria database, functional GGA-PBE.

CIF file:
```
data_Li2AlF
_cell_length_a 6.446
_cell_length_b 6.446
_cell_length_c 6.446
_cell_angle_alpha 90.00
_cell_angle_beta 90.00
_cell_angle_gamma 90.00
_space_group_name_H-M_alt 'F m -3 m'
_space_group_IT_number 225
_space_group_name_Hall '-F 4 2 3'
loop_
_atom_site_label
_atom_site_type_symbol
_atom_site_fract_x
_atom_site_fract_y
_atom_site_fract_z
_atom_site_occupancy
Li1 Li 0.250 0.250 0.250 1
Al1 Al 0.000 0.000 0.000 1
F1 F 0.000 0.000 0.500 1
```

Summary:
E above lowest polymorph	74.1	kJ per mole of atoms
N(E_F)	2.05	states/eV/f.u.
E_form (uncorrected)	-479	meV/atom